Th2PdPt after structural relaxation, computed with PBE.

```
Th2PdPt
1.0
3.9687 0.0000 0.0000
1.9843 3.4370 0.0000
1.9843 1.1457 8.8931
Pd Pt Th
1 1 2
Direct
0.0000 0.0000 0.0000 Pd
0.5000 0.5000 0.5000 Pt
0.1007 0.1007 0.6979 Th
0.8993 0.8993 0.3021 Th
```

Calculated values
Formation enthalpy at 0 K ... -0.306 eV/atom
Crystal system ... trigonal
Mass density ... 10.48 Mg/m³
Symmetry ... No. 166



ThPd2Pt3 after structural relaxation, computed with PBE.

```
ThPd2Pt3
1.0
5.8751 0.0000 0.0000
2.9375 5.0880 0.0000
2.9375 1.6960 7.1598
Th Pd Pt
2 4 6
Direct
0.7784 0.7784 0.6648 Th
0.2216 0.2216 0.3352 Th
0.0000 0.0000 0.0000 Pd
0.0000 0.5000 0.0000 Pd
0.5000 0.5000 0.0000 Pd
0.5000 0.0000 0.0000 Pd
0.2318 0.7221 0.3241 Pt
0.7221 0.2318 0.3241 Pt
0.7221 0.7221 0.3241 Pt
0.2779 0.7682 0.6759 Pt
0.7682 0.2779 0.6759 Pt
0.2779 0.2779 0.6759 Pt
```

Calculated values
Formation enthalpy at 0 K ... -0.720 eV/atom
Crystal system ... trigonal
Mass density ... 15.98 Mg/m³
Energy relative to the lowest polymorph listed for this composition ... 0.000 eV per formula unit
Symmetry ... No. 166



Th5PdPt4 after structural relaxation, computed with PBE.

```
Th5PdPt4
1.0
0.6283 5.1546 2.8893
3.1765 -0.6137 6.5152
6.2640 3.4329 -1.3756
Th Pd Pt
5 1 4
Direct
0.9006 0.4031 0.7977 Th
0.3037 0.7977 0.5969 Th
0.6983 0.2024 0.4031 Th
0.1014 0.5969 0.2023 Th
0.5011 0.0000 0.0000 Th
0.0012 0.0000 0.0000 Pd
0.4001 0.4000 0.8018 Pt
0.8001 0.8018 0.6000 Pt
0.2019 0.1982 0.4000 Pt
0.6019 0.6000 0.1982 Pt
```

Calculated values
Formation enthalpy at 0 K ... -1.080 eV/atom
Crystal system ... tetragonal
Mass density ... 12.97 Mg/m³
Symmetry ... No. 87



ThPd2Pt3 after structural relaxation, computed with PBE.

```
ThPd2Pt3
1.0
-0.8089 -1.8100 5.0499
0.8504 -7.1892 -2.4418
4.6512 5.4321 2.6885
Th Pd Pt
2 4 6
Direct
0.2500 0.3444 0.6556 Th
0.7500 0.6556 0.3444 Th
0.9998 0.2323 0.2323 Pd
0.4998 0.2323 0.2323 Pd
0.0002 0.7677 0.7677 Pd
0.5002 0.7677 0.7677 Pd
0.7500 0.1602 0.8398 Pt
0.7498 0.0865 0.4224 Pt
0.2497 0.4224 0.0865 Pt
0.7503 0.5776 0.9135 Pt
0.2502 0.9135 0.5776 Pt
0.2500 0.8398 0.1602 Pt
```

Calculated values
Formation enthalpy at 0 K ... -0.564 eV/atom
Crystal system ... orthorhombic
Mass density ... 15.43 Mg/m³
Energy relative to the lowest polymorph listed for this composition ... 0.934 eV per formula unit
Symmetry ... No. 63



ThPd3Pt2 after structural relaxation, computed with PBE.

```
ThPd3Pt2
1.0
5.3714 0.0000 0.0000
0.0000 5.1350 -2.6199
0.0000 0.6792 7.6735
Th Pd Pt
2 6 4
Direct
0.7500 0.3460 0.6920 Th
0.2500 0.6540 0.3080 Th
0.7500 0.8403 0.6806 Pd
0.2500 0.1597 0.3194 Pd
0.7500 0.9206 0.3417 Pd
0.2500 0.0794 0.6583 Pd
0.7500 0.4211 0.3417 Pd
0.2500 0.5789 0.6583 Pd
0.0000 0.7625 0.0000 Pt
0.5000 0.2375 0.0000 Pt
0.0000 0.2375 0.0000 Pt
0.5000 0.7625 0.0000 Pt
```

Calculated values
Formation enthalpy at 0 K ... -0.560 eV/atom
Crystal system ... orthorhombic
Mass density ... 14.13 Mg/m³
Energy relative to the lowest polymorph listed for this composition ... 0.702 eV per formula unit
Symmetry ... No. 63



ThPd5Pt after structural relaxation, computed with PBE.

```
ThPd5Pt
1.0
5.5470 0.1560 -0.8717
-0.8094 6.8213 -3.9297
0.1535 -0.6011 6.8935
Th Pd Pt
2 10 2
Direct
0.7500 0.2672 0.5000 Th
0.2500 0.7328 0.5000 Th
0.5472 0.7781 0.8884 Pd
0.3446 0.9470 0.2856 Pd
0.0472 0.6103 0.8884 Pd
0.7500 0.6378 0.5000 Pd
0.1554 0.1614 0.7144 Pd
0.8446 0.8386 0.2856 Pd
0.2500 0.3622 0.5000 Pd
0.9528 0.3897 0.1116 Pd
0.6554 0.0530 0.7144 Pd
0.4528 0.2219 0.1116 Pd
0.0000 0.0000 0.0000 Pt
0.5000 0.5000 0.0000 Pt
```

Calculated values
Formation enthalpy at 0 K ... -0.495 eV/atom
Crystal system ... monoclinic
Mass density ... 12.79 Mg/m³
Energy relative to the lowest polymorph listed for this composition ... 0.000 eV per formula unit
Symmetry ... No. 15



Th2Pd2Pt15 after structural relaxation, computed with PBE.

```
Th2Pd2Pt15
1.0
-5.6135 2.5339 3.3059
0.1114 -4.5335 5.3195
3.4974 4.1012 4.4508
Th Pd Pt
2 2 15
Direct
0.3338 0.3338 0.3338 Th
0.6662 0.6662 0.6662 Th
0.1056 0.1056 0.1056 Pd
0.8944 0.8944 0.8944 Pd
0.5000 0.0000 0.0000 Pt
0.0000 0.0000 0.5000 Pt
0.0000 0.5000 0.0000 Pt
0.0000 0.6869 0.3131 Pt
0.6869 0.3131 0.0000 Pt
0.3131 0.0000 0.6869 Pt
0.3131 0.6869 0.0000 Pt
0.6869 0.0000 0.3131 Pt
0.0000 0.3131 0.6869 Pt
0.1629 0.6538 0.6538 Pt
0.6538 0.6538 0.1629 Pt
0.6538 0.1629 0.6538 Pt
0.8371 0.3462 0.3462 Pt
0.3462 0.3462 0.8371 Pt
0.3462 0.8371 0.3462 Pt
```

Calculated values
Formation enthalpy at 0 K ... -0.524 eV/atom
Crystal system ... trigonal
Mass density ... 17.83 Mg/m³
Symmetry ... No. 166



Th3Pd4Pt3 after structural relaxation, computed with PBE.

```
Th3Pd4Pt3
1.0
7.7966 0.0000 -2.7565
-3.8983 6.7520 -2.7565
0.0000 0.0000 8.2695
Th Pd Pt
6 8 6
Direct
0.6250 0.7500 0.8750 Th
0.8750 0.2500 0.6250 Th
0.1250 0.3750 0.2500 Th
0.3750 0.1250 0.7500 Th
0.2500 0.8750 0.1250 Th
0.7500 0.6250 0.3750 Th
0.0000 0.0000 0.2936 Pd
0.5000 0.2936 0.5000 Pd
0.7064 0.2064 0.2064 Pd
0.0000 0.0000 0.7936 Pd
0.7936 0.5000 0.0000 Pd
0.5000 0.7936 0.5000 Pd
0.2936 0.5000 0.0000 Pd
0.2064 0.7064 0.7064 Pd
0.1250 0.7500 0.3750 Pt
0.3750 0.2500 0.1250 Pt
0.6250 0.8750 0.2500 Pt
0.8750 0.6250 0.7500 Pt
0.2500 0.3750 0.6250 Pt
0.7500 0.1250 0.8750 Pt
```

Calculated values
Formation enthalpy at 0 K ... -0.839 eV/atom
Crystal system ... cubic
Mass density ... 13.02 Mg/m³
Symmetry ... No. 220



Th4PdPt after structural relaxation, computed with PBE.

```
Th4PdPt
1.0
5.9666 0.0000 0.0000
0.0000 7.3388 0.0000
0.0000 0.0000 7.3388
Th Pd Pt
8 2 2
Direct
0.0000 0.1645 0.6618 Th
0.0000 0.8355 0.3382 Th
0.0000 0.3382 0.1645 Th
0.0000 0.6618 0.8355 Th
0.5000 0.8355 0.6618 Th
0.5000 0.1645 0.3382 Th
0.5000 0.6618 0.1645 Th
0.5000 0.3382 0.8355 Th
0.2500 0.0000 0.0000 Pd
0.7500 0.0000 0.0000 Pd
0.2500 0.5000 0.5000 Pt
0.7500 0.5000 0.5000 Pt
```

Calculated values
Formation enthalpy at 0 K ... -0.635 eV/atom
Crystal system ... tetragonal
Mass density ... 12.71 Mg/m³
Energy relative to the lowest polymorph listed for this composition ... 0.000 eV per formula unit
Symmetry ... No. 124



Th4PdPt after structural relaxation, computed with PBE.

```
Th4PdPt
1.0
-5.5731 -3.3580 -4.6955
2.2666 -4.8557 5.9723
-3.1372 6.6378 3.2374
Th Pd Pt
8 2 2
Direct
0.2521 0.9568 0.7047 Th
0.7478 0.4506 0.7028 Th
0.7068 0.5021 0.2047 Th
0.2006 0.9978 0.2028 Th
0.2974 0.5021 0.7953 Th
0.7950 0.9978 0.7972 Th
0.7478 0.0450 0.2972 Th
0.2521 0.5474 0.2953 Th
0.2519 0.2519 0.0000 Pd
0.0019 0.5019 0.5000 Pd
0.7483 0.7483 0.0000 Pt
0.4983 0.9983 0.5000 Pt
```

Calculated values
Formation enthalpy at 0 K ... -0.246 eV/atom
Crystal system ... tetragonal
Mass density ... 10.29 Mg/m³
Energy relative to the lowest polymorph listed for this composition ... 2.334 eV per formula unit
Symmetry ... No. 109



ThPd2Pt4 after structural relaxation, computed with PBE.

```
ThPd2Pt4
1.0
4.9755 0.0000 -1.5034
-0.4543 4.9547 -1.5034
-0.8231 -0.9021 6.2607
Th Pd Pt
1 2 4
Direct
0.0000 0.0000 0.0000 Th
0.6356 0.6356 0.2711 Pd
0.3644 0.3644 0.7289 Pd
0.7500 0.2500 0.5000 Pt
0.2500 0.7500 0.5000 Pt
0.5000 0.0000 0.0000 Pt
0.0000 0.5000 0.0000 Pt
```

Calculated values
Formation enthalpy at 0 K ... -0.119 eV/atom
Crystal system ... tetragonal
Mass density ... 14.45 Mg/m³
Symmetry ... No. 139



ThPd4Pt after structural relaxation, computed with PBE.

```
ThPd4Pt
1.0
-0.6530 -0.7336 5.0085
0.1548 -4.0711 -3.1684
8.3765 -1.5284 7.9074
Th Pd Pt
2 8 2
Direct
0.9976 0.9955 0.2501 Th
0.0024 0.0045 0.7499 Th
0.6747 0.3540 0.5002 Pd
0.3253 0.6460 0.4998 Pd
0.6793 0.3537 0.0000 Pd
0.3207 0.6463 0.0000 Pd
0.3324 0.6647 0.2499 Pd
0.6676 0.3353 0.7501 Pd
0.0000 0.0000 0.5000 Pd
0.0000 0.0000 0.0000 Pd
0.6616 0.3240 0.2501 Pt
0.3384 0.6760 0.7499 Pt
```

Calculated values
Formation enthalpy at 0 K ... -0.662 eV/atom
Crystal system ... triclinic
Mass density ... 13.22 Mg/m³
Energy relative to the lowest polymorph listed for this composition ... 0.010 eV per formula unit
Symmetry ... No. 2